Here is a geometry-optimized BeNbVCuPF structure from Alexandria. Energies are from GGA+U.

Symmetry: P1, No. 1
Total magnetization: 2.2 μB/f.u.
Energy above the most stable polymorph in this dataset: 9.1 kJ/mol of atoms

Unit cell a=2.8088 b=5.9769 c=5.3803 alpha=88.17 beta=105.75 gamma=93.63
Each line ends with the local moment (μB).
Positions (direct):
Be1 0.9302 0.0509 0.8032  -0.03
F1 0.7735 0.0951 0.5080  0.00
Nb1 0.6315 0.8588 0.1611  -0.36
P1 0.2243 0.5737 0.4394  -0.03
V1 0.5354 0.3172 0.1589  2.40
Cu1 0.9135 0.6333 0.7961  -0.01